Record 1
Material: Sr2YAu
Method: DFT, PBE
State: optimized geometry

It has space group Amm2 (No. 38), with a = 4.0492 Å, b = 5.3002 Å, c = 13.9910 Å, α = 90.00°, β = 90.00° and γ = 90.00°. The distinct sites, in fractional coordinates, are Sr at (0.0000, 0.0000, 0.0000), Sr at (0.5000, 0.0000, 0.3155), Y at (0.0000, 0.0000, 0.6884) and Au at (0.5000, 0.0000, 0.5416).

Its energy relative to the lowest polymorph listed for this composition is 86.5 meV per atom. The value obtained for the calculated formation energy is -105 kJ/mol of formula units. The calculation puts the spin magnetization at 0.00 Bohr magnetons per cell.

Record 2
Material: Nd2ErTe2Se2
Method: DFT, PBE
State: optimized geometry

It has space group I4/mmm (No. 139), with a = 5.2596 Å, b = 5.2596 Å, c = 16.0227 Å, α = 90.00°, β = 90.00° and γ = 90.00°. The distinct sites, in fractional coordinates, are Nd at (0.0000, 0.0000, 0.1182), Er at (0.0000, 0.0000, 0.5000), Te at (0.0000, 0.0000, 0.3140) and Se at (0.0000, 0.5000, 0.0000).

The calculation puts the uncorrected formation energy at -1.35 eV/atom. The calculation puts the spin magnetization at 0.01 Bohr magnetons per cell.

Record 3
Material: TbSm4Dy2Er
Method: DFT, PBE
State: optimized geometry

It has space group P2/m (No. 10), with a = 6.2043 Å, b = 3.5877 Å, c = 11.8501 Å, α = 90.00°, β = 100.18° and γ = 90.00°. The distinct sites, in fractional coordinates, are Tb at (0.0000, 0.0000, 0.0000), Sm at (0.2494, 0.0000, 0.7491), Sm at (0.2504, 0.5000, 0.2507), Dy at (0.5000, 0.0000, 0.5000), Dy at (0.5000, 0.5000, 0.0000) and Er at (0.0000, 0.5000, 0.5000).

The value obtained for the calculated formation energy is 13 kJ/mol of formula units. The calculation puts the spin magnetization at 0.00 Bohr magnetons per cell.

Record 4
Material: BaCaGaPd
Method: DFT, PBE
State: optimized geometry

It has space group R3m (No. 160, hexagonal axes), with a = 4.4919 Å, b = 4.4919 Å, c = 23.3037 Å, α = 90.00°, β = 90.00° and γ = 120.00°. The distinct sites, in fractional coordinates, are Ba at (0.0000, 0.0000, 0.0000), Ca at (0.0000, 0.0000, 0.1704), Ga at (0.0000, 0.0000, 0.7625) and Pd at (0.0000, 0.0000, 0.4302).

The value obtained for the calculated formation energy is -201 kJ/mol of formula units. The calculation puts the spin magnetization at 0.00 Bohr magnetons per cell.

Record 5
Material: Cs2KSbI6
Method: DFT, PBE
State: optimized geometry

It has space group Fm-3m (No. 225), with a = 12.8189 Å, b = 12.8189 Å, c = 12.8189 Å, α = 90.00°, β = 90.00° and γ = 90.00°. The distinct sites, in fractional coordinates, are Cs at (0.2500, 0.2500, 0.2500), K at (0.0000, 0.0000, 0.0000), Sb at (0.0000, 0.0000, 0.5000) and I at (0.0000, 0.0000, 0.2641).

Its energy relative to the lowest polymorph listed for this composition is 28.0 meV per atom. The calculation puts the uncorrected formation energy at -1.04 eV/atom. The calculation puts the spin magnetization at 0.00 Bohr magnetons per cell.

Record 6
Material: Sm15Dy2Sc2
Method: DFT, PBE
State: optimized geometry

It has space group R-3m (No. 166, hexagonal axes), with a = 11.1441 Å, b = 11.1441 Å, c = 17.8502 Å, α = 90.00°, β = 90.00° and γ = 120.00°. The distinct sites, in fractional coordinates, are Sm at (0.0000, 0.2923, 0.0000), Sm at (0.0000, 0.5000, 0.5000), Sm at (0.0186, 0.5093, 0.1332), Dy at (0.0000, 0.0000, 0.3134) and Sc at (0.0000, 0.0000, 0.0896).

The value obtained for the calculated formation energy is 514 kJ/mol of formula units. The calculation puts the spin magnetization at 0.00 Bohr magnetons per cell.

Record 7
Material: Tc2HgBr
Method: DFT, PBE
State: optimized geometry

It has space group Fm-3m (No. 225), with a = 6.5039 Å, b = 6.5039 Å, c = 6.5039 Å, α = 90.00°, β = 90.00° and γ = 90.00°. The distinct sites, in fractional coordinates, are Tc at (0.2500, 0.2500, 0.2500), Hg at (0.0000, 0.0000, 0.0000) and Br at (0.0000, 0.0000, 0.5000).

Its energy relative to the lowest polymorph listed for this composition is 929.2 meV per atom. The calculation puts the uncorrected formation energy at 1.17 eV/atom. The calculation puts the spin magnetization at 4.73 Bohr magnetons per cell.

Record 8
Material: TbEr2N3
Method: DFT, PBE
State: optimized geometry

It has space group C2/m (No. 12), with a = 5.9786 Å, b = 10.3547 Å, c = 5.9781 Å, α = 90.00°, β = 109.47° and γ = 90.00°. The distinct sites, in fractional coordinates, are Tb at (0.0000, 0.1667, 0.0000), Er at (0.0000, 0.0000, 0.5000), Er at (0.0000, 0.3338, 0.5000), Er at (0.0000, 0.5000, 0.0000), N at (0.2465, 0.5000, 0.7473) and N at (0.2504, 0.1654, 0.7472).

The calculation puts the uncorrected formation energy at -1.74 eV/atom. The calculation puts the spin magnetization at 0.00 Bohr magnetons per cell.

Record 9
Material: NaAg3I6
Method: DFT, PBE
State: optimized geometry

It has space group P2_1/c (No. 14), with a = 8.2160 Å, b = 7.4652 Å, c = 14.2545 Å, α = 90.00°, β = 105.13° and γ = 90.00°. The distinct sites, in fractional coordinates, are Na at (0.0000, 0.0000, 0.0000), Ag at (0.1733, 0.1364, 0.7460), Ag at (0.5000, 0.0000, 0.5000), I at (0.1309, 0.6915, 0.3390), I at (0.2382, 0.1562, 0.5580) and I at (0.4878, 0.2367, 0.8651).

The calculation puts the uncorrected formation energy at -0.32 eV/atom. The calculation puts the spin magnetization at 0.00 Bohr magnetons per cell.

Record 10
Material: Be2InIr
Method: DFT, PBE
State: optimized geometry

It has space group I-4m2 (No. 119), with a = 3.6432 Å, b = 3.6432 Å, c = 7.9940 Å, α = 90.00°, β = 90.00° and γ = 90.00°. The distinct sites, in fractional coordinates, are Be at (0.0000, 0.0000, 0.0000), Be at (0.0000, 0.5000, 0.2500), In at (0.0000, 0.5000, 0.7500) and Ir at (0.0000, 0.0000, 0.5000).

The value obtained for the calculated formation energy is -6 kJ/mol of formula units. The calculation puts the spin magnetization at 0.00 Bohr magnetons per cell.

Record 11
Material: K2LiCd
Method: DFT, PBE
State: optimized geometry

It has space group I-42d (No. 122), with a = 9.8275 Å, b = 9.8275 Å, c = 6.9281 Å, α = 90.00°, β = 90.00° and γ = 90.00°. The distinct sites, in fractional coordinates, are K at (0.2443, 0.7500, 0.1250), Li at (0.0000, 0.0000, 0.5000) and Cd at (0.0000, 0.0000, 0.0000).

The value obtained for the calculated formation energy is 62 kJ/mol of formula units. The calculation puts the spin magnetization at 0.00 Bohr magnetons per cell.

Record 12
Material: FeReBr2
Method: DFT, PBE
State: optimized geometry

It has space group P2/m (No. 10), with a = 3.0257 Å, b = 4.2656 Å, c = 5.9019 Å, α = 90.00°, β = 101.27° and γ = 90.00°. The distinct sites, in fractional coordinates, are Fe at (0.0000, 0.0000, 0.0000), Re at (0.0000, 0.0000, 0.5000) and Br at (0.1620, 0.5000, 0.7529).

Its energy relative to the lowest polymorph listed for this composition is 766.2 meV per atom. The calculation puts the uncorrected formation energy at 1.08 eV/atom. The calculation puts the spin magnetization at 3.22 Bohr magnetons per cell.